First-principles (PBE) data for crystalline TaNb3Tl2O12 at its relaxed geometry, as listed in Alexandria.

E (eV per atom): -7.98
Space group: No. 166
Formation energy without anion corrections (eV per atom): -2.0783
Size of the total moment (μB per formula unit): 2.154

Cell lengths 7.547, 7.547, 7.547 Å; angles 60.12, 60.12, 60.12 degrees
Positions (direct):
Ta 0.000 0.000 0.000
Nb 0.000 0.000 0.500
Nb 0.000 0.500 0.000
Nb 0.500 0.000 0.000
Tl 0.337 0.337 0.337
Tl 0.663 0.663 0.663
O 0.056 0.689 0.689
O 0.062 0.062 0.689
O 0.062 0.689 0.062
O 0.311 0.311 0.944
O 0.311 0.938 0.938
O 0.311 0.944 0.311
O 0.689 0.056 0.689
O 0.689 0.062 0.062
O 0.689 0.689 0.056
O 0.938 0.311 0.938
O 0.938 0.938 0.311
O 0.944 0.311 0.311